No. 1
Density functional theory data (PBE) for a geometry-optimized Li2Mg2Mn structure.

Computed properties:
Formation energy from the elements in eV per atom: 0.3759
Energy relative to the lowest polymorph listed for this composition in eV/f.u.: 0.000
Crystal system: tetragonal
Total moment in μB/f.u.: 3.929
Mass density in g cm⁻³: 2.0
Volume in Å³ per cell: 95.4
Symmetry: No. 139

```
5
Lattice="5.0002 0.0000 0.0000 0.0000 5.0002 0.0000 2.5001 2.5001 3.8143" Properties=species:S:1:pos:R:3 pbc="T T T"
Mn 0.0000 0.0000 0.0000
Li 5.0002 5.0002 2.7241
Mg 2.5001 5.0002 1.9072
Li 2.5001 2.5001 1.0903
Mg 5.0002 2.5001 1.9072
```

***

No. 2
Density functional theory data (PBE) for a geometry-optimized Li2MgMn structure.

Computed properties:
Formation energy from the elements in eV per atom: 0.2616
Crystal system: tetragonal
Total moment in μB/f.u.: 4.000
Mass density in g cm⁻³: 2.1
Volume in Å³ per cell: 73.4
Symmetry: No. 123

```
4
Lattice="-0.6888 2.8216 -0.0327 -2.6144 -0.6508 -1.0854 -3.1794 -0.6826 8.0674" Properties=species:S:1:pos:R:3 pbc="T T T"
Mn -4.0361 0.5734 5.4915
Mg -2.4464 0.9148 1.4578
Li -1.6364 -0.3513 4.1521
Li -3.1327 -0.6726 7.9490
```

***

No. 3
Density functional theory data (PBE) for a geometry-optimized Li2MgMn structure.

Computed properties:
Formation energy from the elements in eV per atom: 0.2451
Crystal system: orthorhombic
Total moment in μB/f.u.: 3.672
Mass density in g cm⁻³: 2.1
Volume in Å³ per cell: 72.3
Symmetry: No. 65

```
4
Lattice="-2.8135 -0.3484 0.0639 1.2442 -0.7381 2.4389 -1.0533 9.1096 3.2941" Properties=species:S:1:pos:R:3 pbc="T T T"
Li -1.0373 8.9711 3.2440
Mg -1.0479 1.7342 2.0749
Mn -1.5746 6.2890 3.7220
Li -0.5427 4.6933 1.6971
```

***

No. 4
Density functional theory data (PBE) for a geometry-optimized Li2MgMn structure.

Computed properties:
Formation energy from the elements in eV per atom: 0.2679
Crystal system: orthorhombic
Total moment in μB/f.u.: 3.938
Mass density in g cm⁻³: 2.2
Volume in Å³ per cell: 71.3
Symmetry: No. 65

```
4
Lattice="4.9723 0.1517 0.0000 -1.4791 4.7497 0.0000 0.0000 0.0000 2.9897" Properties=species:S:1:pos:R:3 pbc="T T T"
Li 1.7466 2.4507 0.0000
Mn -0.7396 2.3748 1.4949
Mg 2.4862 0.0758 1.4949
Li 0.0000 0.0000 0.0000
```

***

No. 5
Density functional theory data (PBE) for a geometry-optimized LiMg6Mn structure.

Computed properties:
Formation energy from the elements in eV per atom: 0.0916
Crystal system: orthorhombic
Total moment in μB/f.u.: 4.080
Mass density in g cm⁻³: 2.1
Volume in Å³ per cell: 167.7
Symmetry: No. 38

```
8
Lattice="-4.7486 3.5581 -1.8651 -1.1168 -4.8683 3.7067 0.6053 2.8995 3.9904" Properties=species:S:1:pos:R:3 pbc="T T T"
Mg -1.1844 -1.0789 0.9636
Mg -3.5264 0.7225 0.0099
Mg -4.0407 -1.7169 1.8604
Mg -4.4795 1.2207 2.8870
Mg -3.8555 3.6380 1.0359
Li -2.0209 -0.6186 3.8505
Mn -1.7029 -3.5084 2.8075
Mg -1.4404 1.8996 1.9328
```

***

No. 6
Density functional theory data (PBE) for a geometry-optimized LiMg14Mn structure.

Computed properties:
Formation energy from the elements in eV per atom: 0.0335
Energy relative to the lowest polymorph listed for this composition in eV/f.u.: 0.000
Crystal system: hexagonal
Total moment in μB/f.u.: 3.790
Mass density in g cm⁻³: 1.9
Volume in Å³ per cell: 349.8
Symmetry: No. 187

```
16
Lattice="-0.1879 -2.0292 5.9485 -0.6905 -4.0779 -4.7362 10.1045 -1.4910 -0.1895" Properties=species:S:1:pos:R:3 pbc="T T T"
Mg 7.0250 -4.8704 -3.1384
Mg -0.0944 -1.0175 2.9732
Li 5.0522 -0.7455 -0.0947
Mg 4.6125 -3.8012 0.4998
Mg 2.2152 -2.0241 -0.6205
Mg 1.8623 -4.1086 -3.0416
Mg 6.9289 -5.9077 -0.0976
Mg 7.2112 -3.8286 2.2450
Mg 4.2695 -5.8269 -1.8529
Mg 4.7058 -2.7932 -2.4551
Mg 2.1825 -3.0866 2.3393
Mg -0.5328 -4.0658 3.5783
Mg -0.4391 -3.0529 0.6092
Mg 7.3780 -2.7859 -0.7173
Mn 0.0000 0.0000 0.0000
Mg 1.7662 -5.1459 -0.0008
```

***

No. 7
Density functional theory data (PBE) for a geometry-optimized LiMg2Mn structure.

Computed properties:
Formation energy from the elements in eV per atom: 0.2298
Crystal system: orthorhombic
Total moment in μB/f.u.: 3.858
Mass density in g cm⁻³: 2.4
Volume in Å³ per cell: 76.6
Symmetry: No. 35

```
4
Lattice="-2.5686 1.3453 0.2861 0.6381 -1.3291 2.5131 4.4515 7.8560 3.0246" Properties=species:S:1:pos:R:3 pbc="T T T"
Mg 4.4187 7.7981 3.0023
Mn 2.2454 3.9626 1.5257
Li 2.3047 5.7790 3.6214
Mg 0.2294 2.1165 2.2113
```

***

No. 8
Density functional theory data (PBE) for a geometry-optimized LiMg2Mn structure.

Computed properties:
Formation energy from the elements in eV per atom: 0.2100
Crystal system: orthorhombic
Total moment in μB/f.u.: 3.729
Mass density in g cm⁻³: 2.4
Volume in Å³ per cell: 76.0
Symmetry: No. 25

```
4
Lattice="2.9881 0.0000 0.0000 0.0000 4.2525 0.0000 0.0000 0.0000 5.9782" Properties=species:S:1:pos:R:3 pbc="T T T"
Li 1.4941 2.1263 4.4271
Mg 1.4941 2.1263 1.6315
Mn 0.0000 0.0000 2.9778
Mg 0.0000 0.0000 5.9092
```

***

No. 9
Density functional theory data (PBE) for a geometry-optimized Li2MgMn structure.

Computed properties:
Formation energy from the elements in eV per atom: 0.2088
Crystal system: tetragonal
Total moment in μB/f.u.: 3.837
Mass density in g cm⁻³: 2.1
Volume in Å³ per cell: 72.1
Symmetry: No. 99

```
4
Lattice="-1.2838 -2.7613 -0.7677 2.6189 -0.7884 -1.5435 2.7115 -2.9601 6.1126" Properties=species:S:1:pos:R:3 pbc="T T T"
Li 1.3016 -2.4671 0.2738
Mn 2.7365 -4.0335 3.5085
Li 2.6806 -2.9263 6.0428
Mg 1.3952 -1.5231 3.1452
```

***

No. 10
Density functional theory data (PBE) for a geometry-optimized Li2Mg2Mn structure.

Computed properties:
Formation energy from the elements in eV per atom: 0.5301
Energy relative to the lowest polymorph listed for this composition in eV/f.u.: 0.771
Crystal system: tetragonal
Total moment in μB/f.u.: 0.039
Mass density in g cm⁻³: 2.4
Volume in Å³ per cell: 159.8
Symmetry: No. 127

```
10
Lattice="7.3947 0.0000 0.0000 0.0000 7.3947 0.0000 0.0000 0.0000 2.9225" Properties=species:S:1:pos:R:3 pbc="T T T"
Li 0.9087 2.7886 0.0000
Li 4.6060 0.9087 0.0000
Mg 2.3555 1.3418 1.4613
Mn 0.0000 0.0000 0.0000
Li 6.4860 4.6060 0.0000
Mg 6.0529 2.3555 1.4613
Mg 1.3418 5.0391 1.4613
Mg 5.0391 6.0529 1.4613
Mn 3.6973 3.6973 0.0000
Li 2.7886 6.4860 0.0000
```

***

No. 11
Density functional theory data (PBE) for a geometry-optimized LiMgMn2N structure.

Computed properties:
Crystal system: tetragonal
Total moment in μB/f.u.: 3.214
Mass density in g cm⁻³: 4.3
Raw formation energy in meV per atom: -204.1
Volume in Å³ per cell: 59.5
Symmetry: No. 123

```
5
Lattice="-0.4445 3.2178 -1.9268 0.5353 -1.8660 -3.2397 -4.1010 -0.7229 -0.2613" Properties=species:S:1:pos:R:3 pbc="T T T"
Mn 0.2677 -0.9330 -1.6199
Mg -2.0051 0.3144 -2.7139
Li -2.0505 -0.3615 -0.1306
Mn -0.2222 1.6089 -0.9634
N 0.0000 0.0000 0.0000
```

***

No. 12
Density functional theory data (PBE) for a geometry-optimized LiMgMnN2 structure.

Computed properties:
Crystal system: tetragonal
Total moment in μB/f.u.: 3.791
Mass density in g cm⁻³: 3.5
Raw formation energy in meV per atom: 1231.7
Volume in Å³ per cell: 53.8
Symmetry: No. 123

```
5
Lattice="-2.6517 0.2330 2.8001 2.5915 -0.3167 2.4806 0.4067 3.8414 0.0656" Properties=species:S:1:pos:R:3 pbc="T T T"
Mg 1.2958 -0.1584 1.2403
Li 0.0000 0.0000 0.0000
Mn 0.1733 1.8788 2.6731
N 0.2034 1.9207 0.0328
N -1.3259 0.1165 1.4000
```

***

No. 13
Density functional theory data (PBE) for a geometry-optimized LiNdMgMn structure.

Computed properties:
Formation energy from the elements in eV per atom: 0.1630
Crystal system: cubic
Total moment in μB/f.u.: 4.463
Mass density in g cm⁻³: 4.3
Volume in Å³ per cell: 89.2
Symmetry: No. 216

```
4
Lattice="-0.3519 -4.8069 1.3887 3.4748 -3.2995 -1.4824 3.2416 -1.8932 3.3266" Properties=species:S:1:pos:R:3 pbc="T T T"
Nd 4.7734 -7.4997 2.4246
Mn 3.1823 -4.9998 1.6164
Mg 1.5911 -2.4999 0.8082
Li 0.0000 0.0000 0.0000
```